The following is a PBE with a Hubbard U calculation of a geometry-optimized KNiF3 structure, from Alexandria via LeMat-Bulk.

Cell: 3.622 3.622 6.452 Å, 90.00 90.00 90.00°
Positions (direct):
K (0.000, 0.000, 0.000)
Ni (0.500, 0.500, 0.412)
F (0.000, 0.000, 0.627)
F (0.000, 0.500, 0.281)
F (0.500, 0.000, 0.281)

The space group is P4mm. The total moment comes out at 2.00 μB per cell. For the total energy, the calculation gives -3.58 eV per atom.